(1)
Here is CsPuP2Pt2 after structural relaxation from Alexandria. Energies are from PBE-GGA.

a b c (Å): 4.0891 4.0891 9.8012
angles (deg): 90.00 90.00 120.00
Fractional positions:
P  0.3333  0.6667  0.3125
Pu  0.0000  0.0000  0.5000
Pt  0.3333  0.6667  0.7096
Pt  0.6667  0.3333  0.2904
P  0.6667  0.3333  0.6875
Cs  0.0000  0.0000  0.0000

Results
Formation energy from the elements   -0.79 eV per atom
Electronic total energy   -7.139 eV/atom

(2)
Here is Cs2RbPPt after structural relaxation from Alexandria. Energies are from PBE-GGA.

a b c (Å): 7.2812 7.2812 4.4573
angles (deg): 90.00 90.00 90.00
Fractional positions:
Cs  0.0000  0.5000  0.0000
P  0.0000  0.0000  0.0000
Cs  0.5000  0.0000  0.0000
Rb  0.5000  0.5000  0.5000
Pt  0.0000  0.0000  0.5000

Results
Formation energy from the elements   -0.18 eV per atom
Excess energy over the best structure of this formula in the dataset   0.000 eV/atom
Electronic total energy   -3.007 eV/atom